## i
A relaxed Ba2Sn2Ge crystal, computed with PBE-GGA.

Cell: 6.890 6.890 11.786 Å, 112.58 112.58 43.14°
Atoms (fractional coordinates):
Ba1 0.008 0.008 0.167
Ba2 0.185 0.185 0.615
Ba3 0.815 0.815 0.385
Ba4 0.992 0.992 0.833
Sn1 0.314 0.314 0.946
Sn2 0.470 0.470 0.609
Sn3 0.530 0.530 0.391
Sn4 0.686 0.686 0.054
Ge1 0.296 0.296 0.176
Ge2 0.704 0.704 0.824

Crystal system = monoclinic

---

## ii
A relaxed Ba2Sn2Ge crystal, computed with PBE-GGA.

Cell: 8.030 8.030 5.400 Å, 90.00 90.00 90.00°
Atoms (fractional coordinates):
Ba1 0.173 0.327 0.000
Ba2 0.327 0.827 0.000
Ba3 0.673 0.173 0.000
Ba4 0.827 0.673 0.000
Sn1 0.132 0.632 0.500
Sn2 0.368 0.132 0.500
Sn3 0.632 0.868 0.500
Sn4 0.868 0.368 0.500
Ge1 0.000 0.000 0.500
Ge2 0.500 0.500 0.500

Crystal system = tetragonal

---

What should be chosen as the least stable of them? Choose ii.

---

## i
A relaxed Ba3SrGe crystal, computed with PBE-GGA.

Cell: 6.579 6.579 6.579 Å, 90.00 90.00 90.00°
Atoms (fractional coordinates):
Ba1 0.000 0.000 0.500
Ba2 0.000 0.500 0.000
Ba3 0.500 0.000 0.000
Sr1 0.000 0.000 0.000
Ge1 0.500 0.500 0.500

Crystal system = cubic

---

## ii
A relaxed Ba3SrGe crystal, computed with PBE-GGA.

Cell: 6.598 6.598 6.598 Å, 90.00 90.00 90.00°
Atoms (fractional coordinates):
Ba1 0.000 0.000 0.500
Ba2 0.000 0.500 0.000
Ba3 0.500 0.000 0.000
Sr1 0.500 0.500 0.500
Ge1 0.000 0.000 0.000

Crystal system = cubic

---

What should be chosen as the least stable of them? Choose i.

---

## i
A relaxed BaSr3Ge crystal, computed with PBE-GGA.

Cell: 6.347 6.347 6.347 Å, 90.00 90.00 90.00°
Atoms (fractional coordinates):
Ba1 0.000 0.000 0.000
Sr1 0.000 0.000 0.500
Sr2 0.000 0.500 0.000
Sr3 0.500 0.000 0.000
Ge1 0.500 0.500 0.500

Crystal system = cubic

---

## ii
A relaxed BaSr3Ge crystal, computed with PBE-GGA.

Cell: 6.284 6.284 6.284 Å, 90.00 90.00 90.00°
Atoms (fractional coordinates):
Ba1 0.000 0.000 0.000
Sr1 0.000 0.500 0.500
Sr2 0.500 0.000 0.500
Sr3 0.500 0.500 0.000
Ge1 0.500 0.500 0.500

Crystal system = cubic

---

What should be chosen as the least stable of them? Choose i.

---

## i
A relaxed BaSrGe3 crystal, computed with PBE-GGA.

Cell: 14.073 14.073 4.290 Å, 90.00 90.00 159.90°
Atoms (fractional coordinates):
Ba1 0.074 0.926 0.750
Ba2 0.926 0.074 0.250
Sr1 0.202 0.798 0.250
Sr2 0.798 0.202 0.750
Ge1 0.321 0.679 0.250
Ge2 0.377 0.623 0.750
Ge3 0.475 0.525 0.750
Ge4 0.525 0.475 0.250
Ge5 0.623 0.377 0.250
Ge6 0.679 0.321 0.750

Crystal system = orthorhombic

---

## ii
A relaxed BaSrGe3 crystal, computed with PBE-GGA.

Cell: 8.874 8.874 9.028 Å, 90.00 90.00 62.35°
Atoms (fractional coordinates):
Ba1 0.000 0.000 0.250
Ba2 0.000 0.000 0.750
Ba3 0.499 0.501 0.750
Ba4 0.501 0.499 0.250
Sr1 0.000 0.499 0.250
Sr2 0.000 0.501 0.750
Sr3 0.499 0.000 0.750
Sr4 0.501 0.000 0.250
Ge1 0.175 0.656 0.001
Ge2 0.175 0.656 0.499
Ge3 0.329 0.329 0.000
Ge4 0.329 0.329 0.500
Ge5 0.344 0.825 0.001
Ge6 0.344 0.825 0.499
Ge7 0.656 0.175 0.501
Ge8 0.656 0.175 0.999
Ge9 0.671 0.671 0.000
Ge10 0.671 0.671 0.500
Ge11 0.825 0.344 0.501
Ge12 0.825 0.344 0.999

Crystal system = orthorhombic

---

What should be chosen as the least stable of them? Choose ii.

---

## i
A relaxed BaSrGe3 crystal, computed with PBE-GGA.

Cell: 5.759 5.759 5.759 Å, 90.00 90.00 90.00°
Atoms (fractional coordinates):
Ba1 0.000 0.000 0.000
Sr1 0.500 0.500 0.500
Ge1 0.000 0.000 0.500
Ge2 0.000 0.500 0.000
Ge3 0.500 0.000 0.000

Crystal system = cubic

---

## ii
A relaxed BaSrGe3 crystal, computed with PBE-GGA.

Cell: 5.633 5.633 5.633 Å, 90.00 90.00 90.00°
Atoms (fractional coordinates):
Ba1 0.000 0.000 0.000
Sr1 0.500 0.500 0.500
Ge1 0.000 0.500 0.500
Ge2 0.500 0.000 0.500
Ge3 0.500 0.500 0.000

Crystal system = cubic

---

What should be chosen as the least stable of them? Choose i.

---

## i
A relaxed BaTaGe2 crystal, computed with PBE-GGA.

Cell: 5.592 5.592 16.726 Å, 90.00 90.00 90.00°
Atoms (fractional coordinates):
Ba1 0.000 0.000 0.000
Ba2 0.000 0.500 0.250
Ba3 0.500 0.000 0.750
Ba4 0.500 0.500 0.500
Ta1 0.000 0.000 0.500
Ta2 0.000 0.500 0.750
Ta3 0.500 0.000 0.250
Ta4 0.500 0.500 0.000
Ge1 0.001 0.250 0.625
Ge2 0.250 0.501 0.875
Ge3 0.250 0.999 0.375
Ge4 0.499 0.250 0.125
Ge5 0.501 0.750 0.125
Ge6 0.750 0.001 0.375
Ge7 0.750 0.499 0.875
Ge8 0.999 0.750 0.625

Crystal system = tetragonal

---

## ii
A relaxed BaTaGe2 crystal, computed with PBE-GGA.

Cell: 7.193 7.193 7.193 Å, 90.00 90.00 90.00°
Atoms (fractional coordinates):
Ba1 0.000 0.000 0.000
Ba2 0.000 0.500 0.500
Ba3 0.500 0.000 0.500
Ba4 0.500 0.500 0.000
Ta1 0.000 0.000 0.500
Ta2 0.000 0.500 0.000
Ta3 0.500 0.000 0.000
Ta4 0.500 0.500 0.500
Ge1 0.250 0.250 0.250
Ge2 0.250 0.250 0.750
Ge3 0.250 0.750 0.250
Ge4 0.250 0.750 0.750
Ge5 0.750 0.250 0.250
Ge6 0.750 0.250 0.750
Ge7 0.750 0.750 0.250
Ge8 0.750 0.750 0.750

Crystal system = cubic

---

What should be chosen as the least stable of them? Choose ii.

---

## i
A relaxed BaTcGe2 crystal, computed with PBE-GGA.

Cell: 5.619 5.619 15.252 Å, 90.00 90.00 90.00°
Atoms (fractional coordinates):
Ba1 0.000 0.250 0.375
Ba2 0.000 0.750 0.625
Ba3 0.500 0.250 0.125
Ba4 0.500 0.750 0.875
Tc1 0.000 0.250 0.875
Tc2 0.000 0.750 0.125
Tc3 0.500 0.250 0.625
Tc4 0.500 0.750 0.375
Ge1 0.000 0.000 0.000
Ge2 0.000 0.500 0.000
Ge3 0.250 0.250 0.750
Ge4 0.250 0.750 0.250
Ge5 0.500 0.000 0.500
Ge6 0.500 0.500 0.500
Ge7 0.750 0.250 0.750
Ge8 0.750 0.750 0.250

Crystal system = tetragonal

---

## ii
A relaxed BaTcGe2 crystal, computed with PBE-GGA.

Cell: 7.015 7.015 7.015 Å, 90.00 90.00 90.00°
Atoms (fractional coordinates):
Ba1 0.000 0.000 0.000
Ba2 0.000 0.500 0.500
Ba3 0.500 0.000 0.500
Ba4 0.500 0.500 0.000
Tc1 0.000 0.000 0.500
Tc2 0.000 0.500 0.000
Tc3 0.500 0.000 0.000
Tc4 0.500 0.500 0.500
Ge1 0.250 0.250 0.250
Ge2 0.250 0.250 0.750
Ge3 0.250 0.750 0.250
Ge4 0.250 0.750 0.750
Ge5 0.750 0.250 0.250
Ge6 0.750 0.250 0.750
Ge7 0.750 0.750 0.250
Ge8 0.750 0.750 0.750

Crystal system = cubic

---

What should be chosen as the least stable of them? Choose ii.

---

## i
A relaxed BaGeTe3 crystal, computed with PBE-GGA.

Cell: 5.571 5.571 5.571 Å, 90.00 90.00 90.00°
Atoms (fractional coordinates):
Ba1 0.000 0.000 0.000
Ge1 0.500 0.500 0.500
Te1 0.000 0.500 0.500
Te2 0.500 0.000 0.500
Te3 0.500 0.500 0.000

Crystal system = cubic

---

## ii
A relaxed BaGeTe3 crystal, computed with PBE-GGA.

Cell: 6.689 7.440 7.790 Å, 101.30 115.38 90.01°
Atoms (fractional coordinates):
Ba1 0.000 0.000 0.000
Ba2 0.311 0.494 0.622
Ge1 0.655 0.247 0.310
Ge2 0.655 0.747 0.310
Te1 0.027 0.044 0.528
Te2 0.283 0.451 0.093
Te3 0.491 0.915 0.983
Te4 0.502 0.044 0.529
Te5 0.808 0.450 0.092
Te6 0.819 0.580 0.638

Crystal system = triclinic

---

## iii
A relaxed BaGeTe3 crystal, computed with PBE-GGA.

Cell: 5.414 8.487 8.515 Å, 76.13 87.21 87.26°
Atoms (fractional coordinates):
Ba1 0.218 0.200 0.199
Ba2 0.782 0.800 0.801
Ge1 0.000 0.331 0.668
Ge2 0.000 0.669 0.332
Te1 0.251 0.604 0.604
Te2 0.271 0.645 0.077
Te3 0.273 0.076 0.642
Te4 0.727 0.924 0.358
Te5 0.729 0.355 0.923
Te6 0.749 0.396 0.396

Crystal system = triclinic

---

## iv
A relaxed BaGeTe3 crystal, computed with PBE-GGA.

Cell: 6.526 6.526 6.526 Å, 90.00 90.00 90.00°
Atoms (fractional coordinates):
Ba1 0.000 0.000 0.000
Ge1 0.500 0.500 0.500
Te1 0.000 0.000 0.500
Te2 0.000 0.500 0.000
Te3 0.500 0.000 0.000

Crystal system = cubic

---

What should be chosen as the least stable of them? Choose iv.

---

## i
A relaxed Ba2GeTe4 crystal, computed with PBE-GGA.

Cell: 5.437 5.437 18.039 Å, 90.00 90.00 90.00°
Atoms (fractional coordinates):
Ba1 0.000 0.000 0.144
Ba2 0.000 0.000 0.856
Ba3 0.500 0.500 0.356
Ba4 0.500 0.500 0.644
Ge1 0.000 0.000 0.500
Ge2 0.500 0.500 0.000
Te1 0.000 0.000 0.334
Te2 0.000 0.000 0.666
Te3 0.000 0.500 0.000
Te4 0.000 0.500 0.500
Te5 0.500 0.000 0.000
Te6 0.500 0.000 0.500
Te7 0.500 0.500 0.166
Te8 0.500 0.500 0.834

Crystal system = tetragonal

---

## ii
A relaxed Ba2GeTe4 crystal, computed with PBE-GGA.

Cell: 7.822 7.720 9.629 Å, 90.00 108.16 90.00°
Atoms (fractional coordinates):
Ba1 0.237 0.250 0.060
Ba2 0.256 0.250 0.564
Ba3 0.744 0.750 0.436
Ba4 0.763 0.750 0.940
Ge1 0.218 0.750 0.801
Ge2 0.782 0.250 0.199
Te1 0.004 0.511 0.259
Te2 0.004 0.989 0.259
Te3 0.392 0.750 0.081
Te4 0.400 0.750 0.613
Te5 0.600 0.250 0.387
Te6 0.608 0.250 0.919
Te7 0.996 0.011 0.741
Te8 0.996 0.489 0.741

Crystal system = monoclinic

---

What should be chosen as the least stable of them? Choose i.

---

## i
A relaxed BaTi2Ge2 crystal, computed with PBE-GGA.

Cell: 8.254 8.254 2.990 Å, 90.00 90.00 90.00°
Atoms (fractional coordinates):
Ba1 0.000 0.000 0.000
Ba2 0.500 0.500 0.000
Ti1 0.118 0.382 0.000
Ti2 0.382 0.882 0.000
Ti3 0.618 0.118 0.000
Ti4 0.882 0.618 0.000
Ge1 0.167 0.667 0.500
Ge2 0.333 0.167 0.500
Ge3 0.667 0.833 0.500
Ge4 0.833 0.333 0.500

Crystal system = tetragonal

---

## ii
A relaxed BaTi2Ge2 crystal, computed with PBE-GGA.

Cell: 4.392 4.392 12.777 Å, 90.00 90.00 90.00°
Atoms (fractional coordinates):
Ba1 0.000 0.000 0.000
Ba2 0.500 0.500 0.500
Ti1 0.000 0.500 0.250
Ti2 0.000 0.500 0.750
Ti3 0.500 0.000 0.250
Ti4 0.500 0.000 0.750
Ge1 0.000 0.000 0.359
Ge2 0.000 0.000 0.641
Ge3 0.500 0.500 0.141
Ge4 0.500 0.500 0.859

Crystal system = tetragonal

---

What should be chosen as the least stable of them? Choose i.

---

## i
A relaxed BaTl2Ge crystal, computed with PBE-GGA.

Cell: 5.200 5.200 21.089 Å, 90.00 90.00 90.00°
Atoms (fractional coordinates):
Ba1 0.000 0.000 0.000
Ba2 0.000 0.500 0.250
Ba3 0.500 0.000 0.750
Ba4 0.500 0.500 0.500
Tl1 0.145 0.250 0.625
Tl2 0.250 0.645 0.875
Tl3 0.250 0.855 0.375
Tl4 0.355 0.250 0.125
Tl5 0.645 0.750 0.125
Tl6 0.750 0.145 0.375
Tl7 0.750 0.355 0.875
Tl8 0.855 0.750 0.625
Ge1 0.000 0.000 0.500
Ge2 0.000 0.500 0.750
Ge3 0.500 0.000 0.250
Ge4 0.500 0.500 0.000

Crystal system = tetragonal

---

## ii
A relaxed BaTl2Ge crystal, computed with PBE-GGA.

Cell: 7.940 7.940 7.940 Å, 90.00 90.00 90.00°
Atoms (fractional coordinates):
Ba1 0.000 0.000 0.000
Ba2 0.000 0.500 0.500
Ba3 0.500 0.000 0.500
Ba4 0.500 0.500 0.000
Tl1 0.250 0.250 0.250
Tl2 0.250 0.250 0.750
Tl3 0.250 0.750 0.250
Tl4 0.250 0.750 0.750
Tl5 0.750 0.250 0.250
Tl6 0.750 0.250 0.750
Tl7 0.750 0.750 0.250
Tl8 0.750 0.750 0.750
Ge1 0.000 0.000 0.500
Ge2 0.000 0.500 0.000
Ge3 0.500 0.000 0.000
Ge4 0.500 0.500 0.500

Crystal system = cubic

---

What should be chosen as the least stable of them? Choose i.